# Hf6OsRu (PBE-GGA, relaxed)
data_Hf6OsRu
_symmetry_space_group_name_H-M 'P 1'
_symmetry_Int_Tables_number 1
_cell_length_a 4.6011
_cell_length_b 4.6011
_cell_length_c 14.8696
_cell_angle_alpha 90.00
_cell_angle_beta 90.00
_cell_angle_gamma 90.00
loop_
_symmetry_equiv_pos_as_xyz
'x,y,z'
loop_
_atom_site_label
_atom_site_fract_x
_atom_site_fract_y
_atom_site_fract_z
Hf1 0.0000 0.0000 0.2496
Hf2 0.0000 0.0000 0.7504
Hf3 0.0000 0.5000 0.1085
Hf4 0.0000 0.5000 0.3915
Hf5 0.0000 0.5000 0.6085
Hf6 0.0000 0.5000 0.8915
Hf7 0.5000 0.0000 0.1085
Hf8 0.5000 0.0000 0.3915
Hf9 0.5000 0.0000 0.6085
Hf10 0.5000 0.0000 0.8915
Hf11 0.5000 0.5000 0.2504
Hf12 0.5000 0.5000 0.7496
Os1 0.0000 0.0000 0.0000
Os2 0.5000 0.5000 0.5000
Ru1 0.0000 0.0000 0.5000
Ru2 0.5000 0.5000 0.0000
# calculated volume: 19.67 Å³ per atom
# SG: I4/mmm, No. 139
# energy of formation: -0.33 eV per atom
# DOS at the Fermi energy: 1.05 states/eV/atom
# calculated total energy: -82.9 eV/f.u.
# total magnetization: 0.00 μB per formula unit